1.
## SiTeW4 (PBE-GGA)

Data for crystalline SiTeW4 at its relaxed geometry.

The space group is F-43m (No. 216) and the conventional cell measures 7.572, 7.572 and 7.572 Å, with angles of 90.00, 90.00 and 90.00 degrees. The distinct sites, in fractional coordinates, are Si at (0.000, 0.000, 0.000), Te at (0.250, 0.250, 0.250) and W at (0.125, 0.125, 0.625).

The raw formation energy is 868.1 meV per atom. The crystal system is cubic.


2.
## CsCe4Te6 (PBE-GGA)

Data for crystalline CsCe4Te6 at its relaxed geometry.

The space group is Cmcm (No. 63) and the conventional cell measures 4.615, 15.065 and 23.985 Å, with angles of 90.00, 90.00 and 90.00 degrees. The distinct sites, in fractional coordinates, are Cs at (0.000, 0.164, 0.250), Ce at (0.000, 0.095, 0.627), Ce at (0.000, 0.364, 0.539), Te at (0.000, 0.000, 0.000), Te at (0.000, 0.139, 0.750), Te at (0.000, 0.269, 0.083) and Te at (0.000, 0.461, 0.652).

The raw formation energy is -1312.8 meV per atom. The crystal system is orthorhombic.


3.
## K8Au2O (PBE-GGA)

Data for crystalline K8Au2O at its relaxed geometry.

The space group is C2/m (No. 12) and the conventional cell measures 15.027, 7.825 and 8.681 Å, with angles of 90.00, 90.25 and 90.00 degrees. The distinct sites, in fractional coordinates, are K at (0.036, 0.227, 0.288), K at (0.169, 0.000, 0.599), K at (0.191, 0.500, 0.921), Au at (0.095, 0.000, 0.970) and O at (0.000, 0.000, 0.500).

The calculation puts the energy above the lowest structure with this stoichiometry at 0 meV/atom. The raw formation energy is -406.2 meV per atom. The crystal system is monoclinic.


4.
## KIn2Pt (PBE-GGA)

Data for crystalline KIn2Pt at its relaxed geometry.

The space group is I-42d (No. 122) and the conventional cell measures 6.208, 6.208 and 16.498 Å, with angles of 90.00, 90.00 and 90.00 degrees. The distinct sites, in fractional coordinates, are K at (0.000, 0.000, 0.000), In at (0.007, 0.250, 0.625) and Pt at (0.000, 0.000, 0.500).

The crystal system is tetragonal.


5.
## BiTeRhO5 (PBE-GGA)

Data for crystalline BiTeRhO5 at its relaxed geometry.

The space group is C2/c (No. 15) and the conventional cell measures 7.510, 11.895 and 6.577 Å, with angles of 90.00, 112.07 and 90.00 degrees. The distinct sites, in fractional coordinates, are Bi at (0.250, 0.250, 0.000), Te at (0.000, 0.032, 0.250), Rh at (0.000, 0.499, 0.250), O at (0.000, 0.339, 0.750), O at (0.007, 0.140, 0.038) and O at (0.185, 0.490, 0.082).

The raw formation energy is -712.2 meV per atom. The crystal system is monoclinic.


6.
## Y4HgRh (PBE-GGA)

Data for crystalline Y4HgRh at its relaxed geometry.

The space group is P2_1/c (No. 14) and the conventional cell measures 7.271, 7.059 and 6.943 Å, with angles of 90.00, 92.64 and 90.00 degrees. The distinct sites, in fractional coordinates, are Y at (0.145, 0.157, 0.177), Y at (0.319, 0.648, 0.129), Hg at (0.500, 0.000, 0.000) and Rh at (0.000, 0.000, 0.500).

The calculation puts the energy above the lowest structure with this stoichiometry at 174 meV/atom. The crystal system is monoclinic.


7.
## Be2InBr (PBE-GGA)

Data for crystalline Be2InBr at its relaxed geometry.

The space group is P4/mmm (No. 123) and the conventional cell measures 3.203, 3.203 and 7.005 Å, with angles of 90.00, 90.00 and 90.00 degrees. The distinct sites, in fractional coordinates, are Be at (0.000, 0.000, 0.242), In at (0.500, 0.500, 0.000) and Br at (0.500, 0.500, 0.500).

The calculation puts the energy above the lowest structure with this stoichiometry at 470 meV/atom. The raw formation energy is 722.8 meV per atom. The crystal system is tetragonal.


8.
## PmNd4Sm (PBE-GGA)

Data for crystalline PmNd4Sm at its relaxed geometry.

The space group is R-3m (No. 166, hexagonal axes) and the conventional cell measures 5.7552, 5.7552 and 23.0646 Å, with angles of 90.00, 90.00 and 120.00 degrees. The distinct sites, in fractional coordinates, are Pm at (0.0000, 0.0000, 0.0000), Nd at (0.0000, 0.0000, 0.2163), Nd at (0.0000, 0.0000, 0.3678) and Sm at (0.0000, 0.0000, 0.5000).

The calculation puts the energy above the lowest structure with this stoichiometry at 151 meV/atom. The crystal system is trigonal.


Calculated values (eV per atom) of raw total energy for the records, taken in order: -9.1948, -5.2618, -2.2510, -3.2772, -5.6079, -5.9513, -2.2431, -4.3875.